# Mn2PbCl

An optimized crystal structure of Mn2PbCl (PBE-GGA, the Alexandria database).

formation energy (no corrections)	0.26	eV per atom
ΔE to the lowest computed polymorph	214	meV per atom

a = 9.511 Å, b = 3.092 Å, c = 5.757 Å
α = 90.00°, β = 99.83°, γ = 90.00°
Space group Cm (No. 8)
One atom of each set of equivalent atoms:
Mn: 0.000 0.000 0.000
Mn: 0.221 0.500 0.249
Pb: 0.237 0.000 0.761
Cl: 0.443 0.000 0.332